VASP calculation (GGA-PBE) on a geometry-optimized PrNdPbSe structure.

Calculated values
The density of states at the Fermi level is 0.93 states/eV/f.u. Its total energy is -5.384 eV per atom. As for the symmetry: P4/mmm, No. 123. The calculation puts the formation energy without anion corrections at -4.8 eV per formula unit.

Cell lengths 4.4370, 4.4370, 6.2910 Å; angles 90.00, 90.00, 90.00 degrees
Closest atoms and distances in Å follow each position.
Sites, in units of the cell vectors:
1 Pr 0.0000 0.0000 0.0000  4 Se 3.14, 2 Pb 3.15
2 Nd 0.5000 0.5000 0.5000  4 Pb 3.14, 2 Se 3.15
3 Pb 0.0000 0.0000 0.5000  4 Nd 3.14, 2 Pr 3.15
4 Se 0.5000 0.5000 0.0000  4 Pr 3.14, 2 Nd 3.15